# 1
SmEr2Sc3Se6: optimized geometry, PBE.

Cell: 6.889 6.889 6.910 Å, 99.48 99.48 120.20°
Sites, in units of the cell vectors:
Sm1 0.000 0.000 0.000
Er1 0.335 0.665 0.000
Er2 0.665 0.335 0.000
Sc1 0.157 0.843 0.500
Sc2 0.500 0.500 0.500
Sc3 0.843 0.157 0.500
Se1 0.088 0.432 0.267
Se2 0.255 0.255 0.738
Se3 0.432 0.088 0.267
Se4 0.568 0.912 0.733
Se5 0.745 0.745 0.262
Se6 0.912 0.568 0.733

***

# 2
Sm3ErSc2Se6: optimized geometry, PBE.

Cell: 6.974 6.974 7.118 Å, 99.39 99.39 120.26°
Sites, in units of the cell vectors:
Sm1 0.000 0.000 0.000
Sm2 0.337 0.663 0.000
Sm3 0.663 0.337 0.000
Er1 0.500 0.500 0.500
Sc1 0.167 0.833 0.500
Sc2 0.833 0.167 0.500
Se1 0.083 0.423 0.269
Se2 0.235 0.235 0.727
Se3 0.423 0.083 0.269
Se4 0.577 0.917 0.731
Se5 0.765 0.765 0.273
Se6 0.917 0.577 0.731

***

# 3
Sm2ErSc3Se6: optimized geometry, PBE.

Cell: 8.961 8.961 8.058 Å, 103.37 103.37 25.66°
Sites, in units of the cell vectors:
Sm1 0.169 0.169 0.337
Sm2 0.831 0.831 0.663
Er1 0.500 0.500 0.000
Sc1 0.170 0.170 0.833
Sc2 0.500 0.500 0.500
Sc3 0.830 0.830 0.167
Se1 0.006 0.006 0.746
Se2 0.332 0.332 0.932
Se3 0.340 0.340 0.403
Se4 0.660 0.660 0.597
Se5 0.668 0.668 0.068
Se6 0.994 0.994 0.254

***

# 4
SmEr2ScSe6: optimized geometry, PBE.

Cell: 7.615 7.615 7.615 Å, 55.69 55.69 55.69°
Sites, in units of the cell vectors:
Sm1 0.000 0.000 0.000
Er1 0.300 0.300 0.300
Er2 0.804 0.804 0.804
Sc1 0.494 0.494 0.494
Se1 0.100 0.694 0.411
Se2 0.221 0.590 0.885
Se3 0.411 0.100 0.694
Se4 0.590 0.885 0.221
Se5 0.694 0.411 0.100
Se6 0.885 0.221 0.590

***

# 5
Sm3ErSc3Se8: optimized geometry, PBE.

Cell: 8.078 8.078 8.078 Å, 59.14 59.14 59.14°
Sites, in units of the cell vectors:
Sm1 0.000 0.500 0.500
Sm2 0.500 0.000 0.500
Sm3 0.500 0.500 0.000
Er1 0.500 0.500 0.500
Sc1 0.000 0.000 0.500
Sc2 0.000 0.500 0.000
Sc3 0.500 0.000 0.000
Se1 0.232 0.753 0.753
Se2 0.242 0.242 0.242
Se3 0.247 0.247 0.768
Se4 0.247 0.768 0.247
Se5 0.753 0.232 0.753
Se6 0.753 0.753 0.232
Se7 0.758 0.758 0.758
Se8 0.768 0.247 0.247

***

# 6
SmEr3Sc2Se6: optimized geometry, PBE.

Cell: 6.955 6.955 6.940 Å, 99.57 99.57 120.16°
Sites, in units of the cell vectors:
Sm1 0.000 0.000 0.000
Er1 0.157 0.843 0.500
Er2 0.500 0.500 0.500
Er3 0.843 0.157 0.500
Sc1 0.336 0.664 0.000
Sc2 0.664 0.336 0.000
Se1 0.082 0.431 0.248
Se2 0.267 0.267 0.758
Se3 0.431 0.082 0.248
Se4 0.569 0.918 0.752
Se5 0.733 0.733 0.242
Se6 0.918 0.569 0.752

***

# 7
Sm2Er3ScSe6: optimized geometry, PBE.

Cell: 9.073 9.073 8.167 Å, 103.07 103.07 25.75°
Sites, in units of the cell vectors:
Sm1 0.168 0.168 0.335
Sm2 0.832 0.832 0.665
Er1 0.172 0.172 0.835
Er2 0.500 0.500 0.500
Er3 0.828 0.828 0.165
Sc1 0.500 0.500 0.000
Se1 0.004 0.004 0.759
Se2 0.337 0.337 0.410
Se3 0.339 0.339 0.928
Se4 0.661 0.661 0.072
Se5 0.663 0.663 0.590
Se6 0.996 0.996 0.241

***

# 8
SrErSc4Se8: optimized geometry, PBE.

Cell: 8.289 8.289 8.289 Å, 59.00 59.00 59.00°
Sites, in units of the cell vectors:
Sr1 0.000 0.000 0.000
Er1 0.632 0.632 0.632
Sc1 0.126 0.631 0.631
Sc2 0.256 0.256 0.256
Sc3 0.631 0.126 0.631
Sc4 0.631 0.631 0.126
Se1 0.383 0.383 0.862
Se2 0.383 0.862 0.383
Se3 0.387 0.387 0.387
Se4 0.426 0.871 0.871
Se5 0.861 0.861 0.861
Se6 0.862 0.383 0.383
Se7 0.871 0.426 0.871
Se8 0.871 0.871 0.426

***

# 9
Sr2ErScSe4: optimized geometry, PBE.

Cell: 7.161 4.146 7.368 Å, 90.00 109.00 90.00°
Sites, in units of the cell vectors:
Sr1 0.000 0.000 0.000
Sr2 0.500 0.500 0.000
Er1 0.000 0.500 0.500
Sc1 0.500 0.000 0.500
Se1 0.246 0.000 0.724
Se2 0.264 0.500 0.279
Se3 0.736 0.500 0.721
Se4 0.754 0.000 0.276

***

# 10
Tb3Er4ScSe8: optimized geometry, PBE.

Cell: 8.089 8.089 8.089 Å, 59.96 59.96 59.96°
Sites, in units of the cell vectors:
Tb1 0.000 0.500 0.500
Tb2 0.500 0.000 0.500
Tb3 0.500 0.500 0.000
Er1 0.000 0.000 0.500
Er2 0.000 0.500 0.000
Er3 0.500 0.000 0.000
Er4 0.500 0.500 0.500
Sc1 0.000 0.000 0.000
Se1 0.242 0.754 0.754
Se2 0.246 0.246 0.758
Se3 0.246 0.758 0.246
Se4 0.248 0.248 0.248
Se5 0.752 0.752 0.752
Se6 0.754 0.242 0.754
Se7 0.754 0.754 0.242
Se8 0.758 0.246 0.246

***

# 11
Tb3Er3ScSe8: optimized geometry, PBE.

Cell: 8.087 8.087 8.087 Å, 59.87 59.87 59.87°
Sites, in units of the cell vectors:
Tb1 0.000 0.500 0.500
Tb2 0.500 0.000 0.500
Tb3 0.500 0.500 0.000
Er1 0.000 0.000 0.500
Er2 0.000 0.500 0.000
Er3 0.500 0.000 0.000
Sc1 0.500 0.500 0.500
Se1 0.248 0.248 0.248
Se2 0.250 0.746 0.746
Se3 0.254 0.254 0.750
Se4 0.254 0.750 0.254
Se5 0.746 0.250 0.746
Se6 0.746 0.746 0.250
Se7 0.750 0.254 0.254
Se8 0.752 0.752 0.752

***

# 12
Tb2ErScSe6: optimized geometry, PBE.

Cell: 7.592 7.592 7.592 Å, 55.82 55.82 55.82°
Sites, in units of the cell vectors:
Tb1 0.000 0.000 0.000
Tb2 0.498 0.498 0.498
Er1 0.195 0.195 0.195
Sc1 0.693 0.693 0.693
Se1 0.076 0.422 0.801
Se2 0.308 0.908 0.589
Se3 0.422 0.801 0.076
Se4 0.589 0.308 0.908
Se5 0.801 0.076 0.422
Se6 0.908 0.589 0.308

***

# 13
Tb3Er2ScSe6: optimized geometry, PBE.

Cell: 9.042 9.042 8.121 Å, 103.43 103.43 25.74°
Sites, in units of the cell vectors:
Tb1 0.000 0.000 0.000
Tb2 0.331 0.331 0.664
Tb3 0.669 0.669 0.336
Er1 0.334 0.334 0.168
Er2 0.666 0.666 0.832
Sc1 0.000 0.000 0.500
Se1 0.161 0.161 0.585
Se2 0.168 0.168 0.081
Se3 0.500 0.500 0.261
Se4 0.500 0.500 0.739
Se5 0.832 0.832 0.919
Se6 0.839 0.839 0.415

***

# 14
TbErSc2Se4: optimized geometry, PBE.

Cell: 6.896 3.943 6.902 Å, 90.00 109.10 90.00°
Sites, in units of the cell vectors:
Tb1 0.000 0.000 0.000
Er1 0.500 0.500 0.000
Sc1 0.000 0.500 0.500
Sc2 0.500 0.000 0.500
Se1 0.248 0.000 0.737
Se2 0.258 0.500 0.265
Se3 0.742 0.500 0.735
Se4 0.752 0.000 0.263

***

# 15
TbEr3Sc2Se6: optimized geometry, PBE.

Cell: 6.925 6.925 6.926 Å, 99.56 99.56 120.21°
Sites, in units of the cell vectors:
Tb1 0.000 0.000 0.000
Er1 0.160 0.840 0.500
Er2 0.500 0.500 0.500
Er3 0.840 0.160 0.500
Sc1 0.335 0.665 0.000
Sc2 0.665 0.335 0.000
Se1 0.082 0.426 0.246
Se2 0.264 0.264 0.760
Se3 0.426 0.082 0.246
Se4 0.574 0.918 0.754
Se5 0.736 0.736 0.240
Se6 0.918 0.574 0.754

***

# 16
ErThSc2Se4: optimized geometry, PBE.

Cell: 6.919 3.952 7.018 Å, 90.00 108.88 90.00°
Sites, in units of the cell vectors:
Er1 0.000 0.000 0.000
Th1 0.500 0.500 0.000
Sc1 0.000 0.500 0.500
Sc2 0.500 0.000 0.500
Se1 0.234 0.000 0.725
Se2 0.248 0.500 0.268
Se3 0.752 0.500 0.732
Se4 0.766 0.000 0.275

***

# 17
ErTh2ScSe4: optimized geometry, PBE.

Cell: 6.809 3.957 7.512 Å, 90.00 107.84 90.00°
Sites, in units of the cell vectors:
Er1 0.000 0.000 0.000
Th1 0.000 0.500 0.500
Th2 0.500 0.000 0.500
Sc1 0.500 0.500 0.000
Se1 0.248 0.500 0.226
Se2 0.265 0.000 0.778
Se3 0.735 0.000 0.222
Se4 0.752 0.500 0.774

***

# 18
Er3Th4ScSe8: optimized geometry, PBE.

Cell: 8.467 8.467 8.467 Å, 56.11 56.11 56.11°
Sites, in units of the cell vectors:
Er1 0.000 0.500 0.500
Er2 0.500 0.000 0.500
Er3 0.500 0.500 0.000
Th1 0.000 0.000 0.500
Th2 0.000 0.500 0.000
Th3 0.500 0.000 0.000
Th4 0.500 0.500 0.500
Sc1 0.000 0.000 0.000
Se1 0.239 0.239 0.748
Se2 0.239 0.748 0.239
Se3 0.252 0.761 0.761
Se4 0.257 0.257 0.257
Se5 0.743 0.743 0.743
Se6 0.748 0.239 0.239
Se7 0.761 0.252 0.761
Se8 0.761 0.761 0.252

***

# 19
ErTh4Sc3Se8: optimized geometry, PBE.

Cell: 8.395 8.395 8.395 Å, 55.96 55.96 55.96°
Sites, in units of the cell vectors:
Er1 0.000 0.000 0.000
Th1 0.000 0.000 0.500
Th2 0.000 0.500 0.000
Th3 0.500 0.000 0.000
Th4 0.500 0.500 0.500
Sc1 0.000 0.500 0.500
Sc2 0.500 0.000 0.500
Sc3 0.500 0.500 0.000
Se1 0.244 0.244 0.735
Se2 0.244 0.735 0.244
Se3 0.260 0.260 0.260
Se4 0.265 0.756 0.756
Se5 0.735 0.244 0.244
Se6 0.740 0.740 0.740
Se7 0.756 0.265 0.756
Se8 0.756 0.756 0.265

***

# 20
ErSc3Tl3Se8: optimized geometry, PBE.

Cell: 7.960 7.960 8.907 Å, 116.58 116.58 59.93°
Sites, in units of the cell vectors:
Er1 0.000 0.000 0.000
Sc1 0.000 0.500 0.000
Sc2 0.500 0.000 0.000
Sc3 0.500 0.500 0.000
Tl1 0.000 0.000 0.500
Tl2 0.000 0.500 0.500
Tl3 0.500 0.000 0.500
Se1 0.240 0.240 0.201
Se2 0.240 0.722 0.201
Se3 0.268 0.268 0.803
Se4 0.278 0.760 0.799
Se5 0.722 0.240 0.201
Se6 0.732 0.732 0.197
Se7 0.760 0.278 0.799
Se8 0.760 0.760 0.799

***

Number 1: formation energy without anion corrections -1.660 eV/atom, E -6.139 eV/atom. Number 2: formation energy without anion corrections -1.716 eV/atom, E -6.074 eV/atom. Number 3: formation energy without anion corrections -1.676 eV/atom, E -6.168 eV/atom. Number 4: formation energy without anion corrections -1.788 eV/atom, E -5.897 eV/atom. Number 5: formation energy without anion corrections -1.769 eV/atom, E -6.142 eV/atom. Number 6: formation energy without anion corrections -1.672 eV/atom, E -6.004 eV/atom. Number 7: formation energy without anion corrections -1.709 eV/atom, E -5.907 eV/atom. Number 8: formation energy without anion corrections -1.658 eV/atom, E -5.904 eV/atom. Number 9: formation energy without anion corrections -1.812 eV/atom, E -5.337 eV/atom. Number 10: formation energy without anion corrections -1.701 eV/atom, E -5.848 eV/atom. Number 11: formation energy without anion corrections -1.801 eV/atom, E -5.921 eV/atom. Number 12: formation energy without anion corrections -1.798 eV/atom, E -5.904 eV/atom. Number 13: formation energy without anion corrections -1.712 eV/atom, E -5.900 eV/atom. Number 14: formation energy without anion corrections -1.657 eV/atom, E -6.131 eV/atom. Number 15: formation energy without anion corrections -1.668 eV/atom, E -5.992 eV/atom. Number 16: formation energy without anion corrections -1.578 eV/atom, E -6.401 eV/atom. Number 17: formation energy without anion corrections -1.579 eV/atom, E -6.538 eV/atom. Number 18: formation energy without anion corrections -1.604 eV/atom, E -6.452 eV/atom. Number 19: formation energy without anion corrections -1.572 eV/atom, E -6.642 eV/atom. Number 20: formation energy without anion corrections -1.300 eV/atom, E -5.202 eV/atom.